The following is a DFT calculation (PBE) of ErBeTc after structural relaxation.

Cell: 4.203 4.203 4.203 Å, 60.00 60.00 60.00°
Fractional coordinates of all 3 atoms:
Er: 0.000 0.000 0.000
Be: 0.250 0.250 0.250
Tc: 0.500 0.500 0.500

Output
ΔE to the lowest computed polymorph: 0 meV per atom

***

The following is a DFT calculation (PBE) of TbGdAu2O4 after structural relaxation.

Cell: 3.583 3.583 12.143 Å, 90.00 90.00 120.00°
Fractional coordinates of all 8 atoms:
Tb: 0.000 0.000 0.000
Gd: 0.000 0.000 0.500
Au: 0.333 0.667 0.249
Au: 0.667 0.333 0.751
O: 0.333 0.667 0.082
O: 0.333 0.667 0.417
O: 0.667 0.333 0.583
O: 0.667 0.333 0.918

Output
uncorrected energy: -6.676 eV per atom

***

The following is a DFT calculation (PBE) of NbFeAsPd after structural relaxation.

Cell: 4.420 4.420 4.420 Å, 60.00 60.00 60.00°
Fractional coordinates of all 4 atoms:
Nb: 0.000 0.000 0.000
Fe: 0.750 0.750 0.750
As: 0.500 0.500 0.500
Pd: 0.250 0.250 0.250

Output
ΔE to the lowest computed polymorph: 173 meV per atom

***

The following is a DFT calculation (PBE) of LiBeNiB after structural relaxation.

Cell: 3.586 3.586 3.586 Å, 60.00 60.00 60.00°
Fractional coordinates of all 4 atoms:
Li: 0.000 0.000 0.000
Be: 0.750 0.750 0.750
Ni: 0.250 0.250 0.250
B: 0.500 0.500 0.500

Output
ΔE to the lowest computed polymorph: 28 meV per atom

***

The following is a DFT calculation (PBE) of CsNbBi after structural relaxation.

Cell: 5.552 5.552 5.552 Å, 60.00 60.00 60.00°
Fractional coordinates of all 3 atoms:
Cs: 0.000 0.000 0.000
Nb: 0.500 0.500 0.500
Bi: 0.250 0.250 0.250

Output
uncorrected energy: -3.863 eV per atom

***

The following is a DFT calculation (PBE) of La2Te3Au after structural relaxation.

Cell: 9.402 4.397 17.931 Å, 90.00 90.00 90.00°
Fractional coordinates of all 24 atoms:
La: 0.059 0.250 0.213
La: 0.237 0.750 0.479
La: 0.263 0.250 0.979
La: 0.441 0.750 0.713
La: 0.559 0.250 0.287
La: 0.737 0.750 0.021
La: 0.763 0.250 0.521
La: 0.941 0.750 0.787
Te: 0.028 0.250 0.399
Te: 0.087 0.750 0.075
Te: 0.210 0.250 0.787
Te: 0.290 0.750 0.287
Te: 0.413 0.250 0.575
Te: 0.472 0.750 0.899
Te: 0.528 0.250 0.101
Te: 0.587 0.750 0.425
Te: 0.710 0.250 0.713
Te: 0.790 0.750 0.213
Te: 0.913 0.250 0.925
Te: 0.972 0.750 0.601
Au: 0.139 0.250 0.634
Au: 0.361 0.750 0.134
Au: 0.639 0.250 0.866
Au: 0.861 0.750 0.366

Output
uncorrected energy: -4.915 eV per atom

***

The following is a DFT calculation (PBE) of Sm4GaBr5 after structural relaxation.

Cell: 9.540 9.540 8.583 Å, 102.44 102.44 25.18°
Fractional coordinates of all 10 atoms:
Sm: 0.001 0.001 0.230
Sm: 0.346 0.346 0.920
Sm: 0.654 0.654 0.080
Sm: 0.999 0.999 0.770
Ga: 0.500 0.500 0.000
Br: 0.167 0.167 0.330
Br: 0.172 0.172 0.838
Br: 0.500 0.500 0.500
Br: 0.828 0.828 0.162
Br: 0.833 0.833 0.670

Output
uncorrected energy: -4.444 eV per atom

***

The following is a DFT calculation (PBE) of Hf4Ta2In3C3 after structural relaxation.

Cell: 5.661 5.661 15.034 Å, 100.89 100.89 60.04°
Fractional coordinates of all 24 atoms:
Hf: 0.033 0.191 0.086
Hf: 0.134 0.305 0.414
Hf: 0.191 0.033 0.586
Hf: 0.305 0.134 0.914
Hf: 0.695 0.866 0.086
Hf: 0.809 0.967 0.414
Hf: 0.866 0.695 0.586
Hf: 0.967 0.809 0.914
Ta: 0.356 0.526 0.078
Ta: 0.474 0.644 0.422
Ta: 0.526 0.356 0.578
Ta: 0.644 0.474 0.922
In: 0.099 0.901 0.250
In: 0.264 0.418 0.751
In: 0.418 0.264 0.251
In: 0.582 0.736 0.749
In: 0.736 0.582 0.249
In: 0.901 0.099 0.750
C: 0.000 0.500 0.000
C: 0.172 0.664 0.500
C: 0.336 0.828 0.000
C: 0.500 0.000 0.500
C: 0.664 0.172 0.000
C: 0.828 0.336 0.500

Output
uncorrected energy: -8.906 eV per atom

***

The following is a DFT calculation (PBE) of KSnAuSe3 after structural relaxation.

Cell: 11.990 3.975 14.834 Å, 90.00 90.00 90.00°
Fractional coordinates of all 24 atoms:
K: 0.213 0.250 0.009
K: 0.287 0.750 0.509
K: 0.713 0.250 0.491
K: 0.787 0.750 0.991
Sn: 0.029 0.250 0.716
Sn: 0.471 0.750 0.216
Sn: 0.529 0.250 0.784
Sn: 0.971 0.750 0.284
Au: 0.248 0.750 0.823
Au: 0.252 0.250 0.323
Au: 0.748 0.750 0.677
Au: 0.752 0.250 0.177
Se: 0.035 0.750 0.848
Se: 0.061 0.250 0.392
Se: 0.238 0.250 0.680
Se: 0.262 0.750 0.180
Se: 0.439 0.750 0.892
Se: 0.465 0.250 0.348
Se: 0.535 0.750 0.652
Se: 0.561 0.250 0.108
Se: 0.738 0.250 0.820
Se: 0.762 0.750 0.320
Se: 0.939 0.750 0.608
Se: 0.965 0.250 0.152

Output
ΔE to the lowest computed polymorph: 66 meV per atom

***

The following is a DFT calculation (PBE) of BaHfZr after structural relaxation.

Cell: 5.050 5.050 5.050 Å, 60.00 60.00 60.00°
Fractional coordinates of all 3 atoms:
Ba: 0.000 0.000 0.000
Hf: 0.750 0.750 0.750
Zr: 0.250 0.250 0.250

Output
ΔE to the lowest computed polymorph: 416 meV per atom

***

The following is a DFT calculation (PBE) of Sc2NiB6 after structural relaxation.

Cell: 8.838 11.127 3.359 Å, 90.00 90.00 90.00°
Fractional coordinates of all 36 atoms:
Sc: 0.056 0.129 0.000
Sc: 0.177 0.415 0.000
Sc: 0.323 0.915 0.000
Sc: 0.444 0.629 0.000
Sc: 0.556 0.371 0.000
Sc: 0.677 0.085 0.000
Sc: 0.823 0.585 0.000
Sc: 0.944 0.871 0.000
Ni: 0.143 0.681 0.000
Ni: 0.357 0.181 0.000
Ni: 0.643 0.819 0.000
Ni: 0.857 0.319 0.000
B: 0.016 0.289 0.500
B: 0.054 0.564 0.500
B: 0.102 0.973 0.500
B: 0.135 0.819 0.500
B: 0.203 0.239 0.500
B: 0.250 0.080 0.500
B: 0.250 0.580 0.500
B: 0.297 0.739 0.500
B: 0.365 0.319 0.500
B: 0.398 0.473 0.500
B: 0.446 0.064 0.500
B: 0.484 0.789 0.500
B: 0.516 0.211 0.500
B: 0.554 0.936 0.500
B: 0.602 0.527 0.500
B: 0.635 0.681 0.500
B: 0.703 0.261 0.500
B: 0.750 0.420 0.500
B: 0.750 0.920 0.500
B: 0.797 0.761 0.500
B: 0.865 0.181 0.500
B: 0.898 0.027 0.500
B: 0.946 0.436 0.500
B: 0.984 0.711 0.500

Output
uncorrected energy: -7.145 eV per atom

***

The following is a DFT calculation (PBE) of MgZrAlIr after structural relaxation.

Cell: 4.568 4.568 4.568 Å, 60.00 60.00 60.00°
Fractional coordinates of all 4 atoms:
Mg: 0.000 0.000 0.000
Zr: 0.750 0.750 0.750
Al: 0.250 0.250 0.250
Ir: 0.500 0.500 0.500

Output
ΔE to the lowest computed polymorph: 0 meV per atom

***

The following is a DFT calculation (PBE) of MgHgSeO after structural relaxation.

Cell: 9.436 9.436 5.592 Å, 90.00 90.00 162.77°
Fractional coordinates of all 8 atoms:
Mg: 0.011 0.989 0.750
Mg: 0.989 0.011 0.250
Hg: 0.335 0.665 0.750
Hg: 0.665 0.335 0.250
Se: 0.327 0.673 0.250
Se: 0.673 0.327 0.750
O: 0.500 0.500 0.000
O: 0.500 0.500 0.500

Output
ΔE to the lowest computed polymorph: 74 meV per atom

***

The following is a DFT calculation (PBE) of ScCo4Sn2Ge4 after structural relaxation.

Cell: 6.250 6.250 6.250 Å, 116.96 116.96 95.35°
Fractional coordinates of all 11 atoms:
Sc: 0.000 0.000 0.000
Co: 0.242 0.242 0.659
Co: 0.417 0.758 0.000
Co: 0.583 0.583 0.341
Co: 0.758 0.417 0.000
Sn: 0.000 0.500 0.500
Sn: 0.500 0.000 0.500
Ge: 0.127 0.463 0.000
Ge: 0.463 0.127 0.000
Ge: 0.537 0.537 0.663
Ge: 0.873 0.873 0.337

Output
uncorrected energy: -5.856 eV per atom

***

The following is a DFT calculation (PBE) of TbGa2Hg after structural relaxation.

Cell: 6.358 6.358 4.738 Å, 90.00 90.00 117.78°
Fractional coordinates of all 8 atoms:
Tb: 0.158 0.842 0.750
Tb: 0.842 0.158 0.250
Ga: 0.191 0.347 0.750
Ga: 0.347 0.191 0.250
Ga: 0.653 0.809 0.750
Ga: 0.809 0.653 0.250
Hg: 0.338 0.662 0.250
Hg: 0.662 0.338 0.750

Output
ΔE to the lowest computed polymorph: 3 meV per atom

***

The following is a DFT calculation (PBE) of NdDyMg6 after structural relaxation.

Cell: 5.198 5.198 7.385 Å, 90.00 90.00 90.00°
Fractional coordinates of all 8 atoms:
Nd: 0.000 0.000 0.000
Dy: 0.500 0.500 0.500
Mg: 0.000 0.000 0.500
Mg: 0.000 0.500 0.255
Mg: 0.000 0.500 0.745
Mg: 0.500 0.000 0.255
Mg: 0.500 0.000 0.745
Mg: 0.500 0.500 0.000

Output
uncorrected energy: -2.426 eV per atom

***

The following is a DFT calculation (PBE) of BeAlCdFe after structural relaxation.

Cell: 4.269 4.269 4.269 Å, 60.00 60.00 60.00°
Fractional coordinates of all 4 atoms:
Be: 0.000 0.000 0.000
Al: 0.250 0.250 0.250
Cd: 0.750 0.750 0.750
Fe: 0.500 0.500 0.500

Output
ΔE to the lowest computed polymorph: 29 meV per atom

***

The following is a DFT calculation (PBE) of Tm6In2Tc after structural relaxation.

Cell: 8.441 8.441 3.868 Å, 90.00 90.00 120.00°
Fractional coordinates of all 9 atoms:
Tm: 0.000 0.243 0.000
Tm: 0.000 0.616 0.500
Tm: 0.243 0.000 0.000
Tm: 0.384 0.384 0.500
Tm: 0.616 0.000 0.500
Tm: 0.757 0.757 0.000
In: 0.333 0.667 0.000
In: 0.667 0.333 0.000
Tc: 0.000 0.000 0.500

Output
uncorrected energy: -5.030 eV per atom

***

The following is a DFT calculation (PBE) of TbYBrNCl2 after structural relaxation.

Cell: 8.600 8.600 10.988 Å, 120.73 120.73 25.97°
Fractional coordinates of all 12 atoms:
Tb: 0.135 0.135 0.286
Tb: 0.865 0.865 0.714
Y: 0.418 0.418 0.044
Y: 0.582 0.582 0.956
Br: 0.339 0.339 0.483
Br: 0.661 0.661 0.517
N: 0.425 0.425 0.846
N: 0.575 0.575 0.154
Cl: 0.045 0.045 0.755
Cl: 0.215 0.215 0.109
Cl: 0.785 0.785 0.891
Cl: 0.955 0.955 0.245

Output
ΔE to the lowest computed polymorph: 0 meV per atom

***

The following is a DFT calculation (PBE) of Nd2Y2CIBr2Cl2 after structural relaxation.

Cell: 8.892 8.892 8.855 Å, 103.38 103.38 25.58°
Fractional coordinates of all 10 atoms:
Nd: 0.002 0.002 0.305
Nd: 0.998 0.998 0.695
Y: 0.357 0.357 0.430
Y: 0.643 0.643 0.570
C: 0.500 0.500 0.500
I: 0.500 0.500 0.000
Br: 0.175 0.175 0.812
Br: 0.825 0.825 0.188
Cl: 0.174 0.174 0.371
Cl: 0.826 0.826 0.629

Output
ΔE to the lowest computed polymorph: 0 meV per atom